Record 1
Entry from Alexandria via LeMat-Bulk: a relaxed Tl3Pd6Au crystal (PBE-GGA). Values from VASP.

```
&SYSTEM
  ibrav = 0, nat = 20, ntyp = 3
/
ATOMIC_SPECIES
Pd 106.42 Pd.upf
Tl 204.38 Tl.upf
Au 196.97 Au.upf
CELL_PARAMETERS angstrom
-0.381 -1.951 4.298
-3.318 -6.659 -3.318
10.384 0.012 0.927
ATOMIC_POSITIONS angstrom
Pd 4.616 -4.992 -0.552
Pd 2.679 -6.382 1.253
Pd -2.016 -7.761 0.211
Tl 2.009 -4.054 -0.358
Tl 4.675 -4.544 2.265
Tl 7.407 -5.684 -0.619
Pd 4.005 -2.216 0.654
Pd 6.912 -2.261 3.500
Pd 7.500 -5.043 2.290
Tl 6.867 -2.716 0.681
Tl -0.723 -2.914 2.526
Pd 8.701 -0.838 1.696
Au 2.563 -6.813 -1.561
Tl -0.183 -5.883 1.226
Au 4.121 -1.785 3.469
Pd 5.541 -7.022 1.217
Pd -0.228 -6.338 -1.593
Pd 1.143 -1.577 0.690
Pd 2.068 -3.607 2.459
Pd -0.815 -3.556 -0.382
```

Values from the calculation:
E_tot ... -4.3040 eV per atom
Calculated formation energy ... -0.151 eV per atom
Symmetry ... No. 11

Record 2
Entry from Alexandria via LeMat-Bulk: a relaxed Tl2Pd12Au5 crystal (PBE-GGA). Values from VASP.

```
&SYSTEM
  ibrav = 0, nat = 19, ntyp = 3
/
ATOMIC_SPECIES
Tl 204.38 Tl.upf
Pd 106.42 Pd.upf
Au 196.97 Au.upf
CELL_PARAMETERS angstrom
-2.071 3.322 -7.536
0.589 -7.555 1.293
-5.843 0.100 1.650
ATOMIC_POSITIONS angstrom
Tl -1.597 2.562 -5.812
Pd -2.778 1.105 -3.534
Au -2.922 0.050 0.825
Au -0.874 -3.998 -1.522
Pd -1.861 -1.490 -2.569
Pd -4.442 -4.283 1.694
Pd -5.330 -1.589 0.764
Pd -2.883 0.149 -6.287
Pd -2.227 -5.408 0.441
Pd -5.464 -2.644 -2.024
Pd -4.548 -5.238 -1.059
Au -6.452 -0.135 -3.071
Tl -0.474 0.760 -1.725
Pd -3.185 -3.871 -3.044
Au -3.105 -2.729 -0.349
Au -4.220 -1.404 -4.244
Pd -5.099 1.274 -5.035
Pd -4.141 -0.262 -1.550
Pd -1.996 -2.544 -5.358
```

Values from the calculation:
E_tot ... -4.4509 eV per atom
Calculated formation energy ... -0.060 eV per atom
Symmetry ... No. 12

Record 3
Entry from Alexandria via LeMat-Bulk: a relaxed TlPd3Au crystal (PBE-GGA). Values from VASP.

```
&SYSTEM
  ibrav = 0, nat = 10, ntyp = 3
/
ATOMIC_SPECIES
Pd 106.42 Pd.upf
Au 196.97 Au.upf
Tl 204.38 Tl.upf
CELL_PARAMETERS angstrom
-2.626 1.698 4.436
-4.323 -4.444 -0.858
4.524 -2.401 3.597
ATOMIC_POSITIONS angstrom
Pd -0.782 -4.296 2.841
Pd 0.477 -1.607 5.878
Pd -1.570 -3.325 5.324
Au -1.313 0.849 2.218
Au 0.000 0.000 0.000
Tl -3.768 -2.588 3.740
Tl 1.343 -2.559 3.435
Pd -1.643 -0.851 4.334
Pd -2.902 -3.540 1.297
Pd -0.855 -1.822 1.851
```

Values from the calculation:
E_tot ... -4.1194 eV per atom
Calculated formation energy ... 0.125 eV per atom
Symmetry ... No. 63

The following theoretical density values (in g/cm3) correspond, in order, to the records above: 13.342, 13.438, 11.823.